DFT (GGA-PBE) results for a relaxed TbTiCu2 crystal.

The structure in CIF format:
```
data_TbTiCu2
_chemical_formula_sum 'Tb1 Ti1 Cu2'
_cell_length_a 4.640
_cell_length_b 4.640
_cell_length_c 3.316
_cell_angle_alpha 90.00
_cell_angle_beta 90.00
_cell_angle_gamma 90.00
_symmetry_space_group_name_H-M 'P 1'
_symmetry_Int_Tables_number 1
loop_
_symmetry_equiv_pos_as_xyz
'x,y,z'
loop_
_atom_site_label
_atom_site_type_symbol
_atom_site_fract_x
_atom_site_fract_y
_atom_site_fract_z
Tb1 Tb 0.000 0.000 0.000
Ti1 Ti 0.500 0.500 0.000
Cu1 Cu 0.000 0.500 0.500
Cu2 Cu 0.500 0.000 0.500
```

## Properties
- SG: P4/mmm
- Energy of formation: -0.1 eV/f.u.